Record 1
The following is a GGA-PBE calculation of Cs2NpI2F4 after structural relaxation, from the Alexandria database.

Computed properties:
Its formation energy without anion corrections is -22.9 eV per formula unit.

abc: 7.5995 7.5995 7.5995
angles: 92.61 118.50 118.50
Each line ends with the local moment (μB).
Sites, in units of the cell vectors:
Cs1 0.5000 0.7500 0.2500  0.00
Cs2 0.5000 0.2500 0.7500  0.00
Np1 0.0000 0.0000 0.0000  3.11
I1 0.0000 0.7040 0.7040  -0.02
I2 0.0000 0.2960 0.2960  -0.02
F1 0.0000 0.8077 0.1923  -0.03
F2 0.6154 0.8077 0.8077  -0.03
F3 0.0000 0.1923 0.8077  -0.03
F4 0.3846 0.1923 0.1923  -0.03

***

Record 2
The following is a GGA-PBE calculation of Tm5Cd6 after structural relaxation, from the Alexandria database.

Computed properties:
The formation energy comes out at -0.203 eV per atom.

abc: 5.2121 7.2339 8.8481
angles: 114.13 107.13 90.00
Sites, in units of the cell vectors:
Tm1 0.0000 0.5000 0.0000
Tm2 0.6606 0.6606 0.3212
Tm3 0.3394 0.3394 0.6788
Tm4 0.3179 0.8179 0.6358
Tm5 0.6821 0.1821 0.3642
Cd1 0.4998 0.7834 0.0000
Cd2 0.5002 0.2166 0.0000
Cd3 0.8473 0.0683 0.6947
Cd4 0.8474 0.6264 0.6947
Cd5 0.1527 0.9317 0.3053
Cd6 0.1526 0.3736 0.3053

***

Record 3
The following is a GGA-PBE calculation of TiNbPdPt after structural relaxation, from the Alexandria database.

Computed properties:
Its polymorph energy (0 for the lowest one) is 0 meV per atom. The formation energy comes out at -0.448 eV per atom.

abc: 4.4984 4.4984 4.4984
angles: 60.00 60.00 60.00
Each line ends with the local moment (μB).
Sites, in units of the cell vectors:
Nb1 0.2500 0.2500 0.2500  0.28
Pd1 0.7500 0.7500 0.7500  0.00
Pt1 0.5000 0.5000 0.5000  0.04
Ti1 0.0000 0.0000 0.0000  0.56

***

Record 4
The following is a GGA-PBE calculation of NdHfIn2 after structural relaxation, from the Alexandria database.

Computed properties:
Its polymorph energy (0 for the lowest one) is 8 meV per atom. The formation energy comes out at -0.199 eV per atom.

abc: 4.5116 4.7153 4.7153
angles: 90.00 90.00 90.00
Sites, in units of the cell vectors:
Nd1 0.5000 0.5000 0.5000
Hf1 0.5000 0.0000 0.0000
In1 0.0000 0.0000 0.5000
In2 0.0000 0.5000 0.0000

***

Record 5
The following is a GGA-PBE calculation of Pm7PrPt2 after structural relaxation, from the Alexandria database.

Computed properties:
The formation energy comes out at -0.219 eV per atom.

abc: 5.5169 8.5587 8.5587
angles: 116.05 90.00 90.00
Sites, in units of the cell vectors:
Pm1 0.0000 0.7117 0.2883
Pm2 0.0000 0.2883 0.7117
Pm3 0.5000 0.0591 0.3188
Pm4 0.5000 0.9409 0.6812
Pm5 0.5000 0.3188 0.0591
Pm6 0.5000 0.6812 0.9409
Pm7 0.5000 0.5000 0.5000
Pr1 0.0000 0.0000 0.0000
Pt1 0.5000 0.7020 0.2980
Pt2 0.5000 0.2980 0.7020

***

Record 6
The following is a GGA-PBE calculation of Ac4Pr5 after structural relaxation, from the Alexandria database.

Computed properties:
Its polymorph energy (0 for the lowest one) is 45 meV per atom. The formation energy comes out at 0.072 eV per atom.

abc: 7.3879 10.5848 10.5848
angles: 120.00 90.00 90.00
Sites, in units of the cell vectors:
Ac1 0.0000 0.0000 0.0000
Ac2 0.5000 0.0000 0.0000
Ac3 0.7500 0.3406 0.3406
Ac4 0.7500 0.0000 0.6594
Ac5 0.7500 0.6594 0.0000
Ac6 0.2500 0.6594 0.6594
Ac7 0.2500 0.0000 0.3406
Ac8 0.2500 0.3406 0.0000
Pr1 0.7500 0.6695 0.6695
Pr2 0.7500 0.0000 0.3305
Pr3 0.7500 0.3305 0.0000
Pr4 0.2500 0.3305 0.3305
Pr5 0.2500 0.0000 0.6695
Pr6 0.2500 0.6695 0.0000
Pr7 0.0000 0.6667 0.3333
Pr8 0.5000 0.3333 0.6667
Pr9 0.0000 0.3333 0.6667
Pr10 0.5000 0.6667 0.3333

***

Record 7
The following is a GGA-PBE calculation of DyPd14Au after structural relaxation, from the Alexandria database.

Computed properties:
The formation energy comes out at -0.215 eV per atom.

abc: 5.6514 5.6514 8.0611
angles: 90.00 90.00 90.00
Sites, in units of the cell vectors:
Dy1 0.8750 0.8750 0.5000
Pd1 0.8750 0.8750 0.0000
Pd2 0.3750 0.3750 0.0000
Pd3 0.8750 0.3750 0.5000
Pd4 0.8750 0.3750 0.0000
Pd5 0.3750 0.8750 0.5000
Pd6 0.3750 0.8750 0.0000
Pd7 0.6240 0.1260 0.2444
Pd8 0.6240 0.1260 0.7556
Pd9 0.1260 0.6240 0.2444
Pd10 0.1260 0.6240 0.7556
Pd11 0.6240 0.6240 0.2445
Pd12 0.6240 0.6240 0.7555
Pd13 0.1260 0.1260 0.2445
Pd14 0.1260 0.1260 0.7555
Au1 0.3750 0.3750 0.5000

***

Record 8
The following is a GGA-PBE calculation of YCd2InSn after structural relaxation, from the Alexandria database.

Computed properties:
The formation energy comes out at -0.183 eV per atom.

abc: 3.3695 9.5893 8.5188
angles: 90.00 90.00 100.12
Sites, in units of the cell vectors:
Y1 0.4105 0.8210 0.7500
Y2 0.5895 0.1790 0.2500
Cd1 0.1580 0.3159 0.9424
Cd2 0.8420 0.6841 0.0576
Cd3 0.1580 0.3159 0.5576
Cd4 0.8420 0.6841 0.4424
In1 0.7589 0.5179 0.7500
In2 0.2411 0.4821 0.2500
Sn1 0.0000 0.0000 0.0000
Sn2 0.0000 0.0000 0.5000